*w*
A plane-wave DFT calculation with GGA-PBE was carried out for an optimized crystal structure of DyPaAu2.

Properties
- M_tot: 0.82 Bohr magnetons per cell
- DOS(E_F): 1.38 states/eV per atom

Cell lengths 8.3858, 8.3858, 8.3858 Å; angles 26.41, 26.41, 26.41 degrees
Element x y z (fractional)
1 Dy 0.0000 0.0000 0.0000
2 Pa 0.5000 0.5000 0.5000
3 Au 0.2497 0.2497 0.2497
4 Au 0.7503 0.7503 0.7503

---

*x*
A plane-wave DFT calculation with GGA-PBE was carried out for an optimized crystal structure of DyPaAu2.

Properties
- M_tot: 0.58 Bohr magnetons per cell
- DOS(E_F): 1.42 states/eV per atom

Cell lengths 5.1011, 5.1011, 5.1011 Å; angles 60.00, 60.00, 60.00 degrees
Element x y z (fractional)
1 Dy 0.0000 0.0000 0.0000
2 Pa 0.5000 0.5000 0.5000
3 Au 0.2500 0.2500 0.2500
4 Au 0.7500 0.7500 0.7500

---

Which of them is the most stable? Correct choice: *x*.

---

*w*
A plane-wave DFT calculation with GGA-PBE was carried out for an optimized crystal structure of DyPd3Au2.

Properties
- M_tot: 0.00 Bohr magnetons per cell
- DOS(E_F): 0.40 states/eV per atom

Cell lengths 6.6820, 6.6820, 4.0128 Å; angles 90.00, 90.00, 143.55 degrees
Element x y z (fractional)
1 Dy 0.0000 0.0000 0.0000
2 Pd 0.1694 0.8306 0.5000
3 Pd 0.5000 0.5000 0.5000
4 Pd 0.8306 0.1694 0.5000
5 Au 0.3334 0.6666 0.0000
6 Au 0.6666 0.3334 0.0000

---

*x*
A plane-wave DFT calculation with GGA-PBE was carried out for an optimized crystal structure of DyPd3Au2.

Properties
- M_tot: 0.00 Bohr magnetons per cell
- DOS(E_F): 0.45 states/eV per atom

Cell lengths 4.0803, 8.8018, 5.9228 Å; angles 90.00, 90.00, 90.00 degrees
Element x y z (fractional)
1 Dy 0.0000 0.1731 0.0000
2 Dy 0.0000 0.8269 0.5000
3 Pd 0.0000 0.4912 0.9861
4 Pd 0.0000 0.5088 0.4861
5 Pd 0.5000 0.0013 0.7485
6 Pd 0.5000 0.3332 0.2465
7 Pd 0.5000 0.6668 0.7465
8 Pd 0.5000 0.9987 0.2485
9 Au 0.0000 0.1680 0.4948
10 Au 0.0000 0.8320 0.9948
11 Au 0.5000 0.3445 0.7309
12 Au 0.5000 0.6555 0.2309

---

Which of them is the most stable? Correct choice: *w*.